Entry 1:
The following is a DFT calculation (PBE) of crystalline RbOs at its relaxed geometry.

Computed properties:
Total magnetic moment: 0.002 μB/atom
E_form: 996 meV/atom
V: 708.4 Å³/cell

a = 13.4868 Å, b = 13.4868 Å, c = 3.8944 Å
α = 90.00°, β = 90.00°, γ = 90.00°
Atoms (fractional coordinates):
1 Rb 0.5599 0.8291 0.5000
2 Rb 0.4401 0.1709 0.5000
3 Rb 0.1709 0.5599 0.5000
4 Rb 0.8291 0.4401 0.5000
5 Rb 0.7821 0.1107 0.0000
6 Rb 0.2179 0.8893 0.0000
7 Rb 0.8893 0.7821 0.0000
8 Rb 0.1107 0.2179 0.0000
9 Os 0.6003 0.5829 0.5000
10 Os 0.3997 0.4171 0.5000
11 Os 0.4171 0.6003 0.5000
12 Os 0.5829 0.3997 0.5000
13 Os 0.6876 0.6264 0.0000
14 Os 0.3124 0.3736 0.0000
15 Os 0.3736 0.6876 0.0000
16 Os 0.6264 0.3124 0.0000

Entry 2:
The following is a DFT calculation (PBE) of crystalline Cs3PmSm2Te6 at its relaxed geometry.

Computed properties:
Formation energy without anion corrections: -1.41 eV/atom
Total magnetic moment: 0.000 μB/atom
V: 499.6 Å³/cell

a = 8.0329 Å, b = 8.0329 Å, c = 9.3333 Å
α = 98.25°, β = 98.25°, γ = 120.00°
Atoms (fractional coordinates):
1 Cs 0.1666 0.8334 0.5000
2 Cs 0.8334 0.1666 0.5000
3 Cs 0.5000 0.5000 0.5000
4 Pm 0.0000 0.0000 0.0000
5 Sm 0.3333 0.6667 0.0000
6 Sm 0.6667 0.3333 0.0000
7 Te 0.9356 0.6011 0.8067
8 Te 0.7300 0.7300 0.1933
9 Te 0.0644 0.3989 0.1933
10 Te 0.6011 0.9356 0.8067
11 Te 0.2700 0.2700 0.8067
12 Te 0.3989 0.0644 0.1933

Entry 3:
The following is a DFT calculation (PBE) of crystalline SrAcPb6 at its relaxed geometry.

Computed properties:
Total magnetic moment: 0.000 μB/atom
E_form: -380 meV/atom
V: 257.5 Å³/cell

a = 5.0368 Å, b = 5.0368 Å, c = 10.1502 Å
α = 90.00°, β = 90.00°, γ = 90.00°
Atoms (fractional coordinates):
1 Sr 0.0000 0.0000 0.0000
2 Ac 0.0000 0.0000 0.5000
3 Pb 0.5000 0.5000 0.0000
4 Pb 0.5000 0.5000 0.5000
5 Pb 0.5000 0.0000 0.2460
6 Pb 0.5000 0.0000 0.7540
7 Pb 0.0000 0.5000 0.2460
8 Pb 0.0000 0.5000 0.7540

Entry 4:
The following is a DFT calculation (PBE) of crystalline NaSr3Pd at its relaxed geometry.

Computed properties:
Total magnetic moment: 0.201 μB/atom
E_form: 148 meV/atom
V: 445.9 Å³/cell

a = 8.4000 Å, b = 8.4000 Å, c = 6.3400 Å
α = 90.00°, β = 90.00°, γ = 94.65°
Last column: magnetic moment on the atom in μB.
Atoms (fractional coordinates):
1 Sr 0.4583 0.1868 0.2500  0.02
2 Sr 0.8132 0.5417 0.2500  0.02
3 Sr 0.1868 0.4583 0.7500  0.02
4 Sr 0.5417 0.8132 0.7500  0.02
5 Sr 0.0000 0.0000 0.0000  0.18
6 Sr 0.0000 0.0000 0.5000  0.19
7 Pd 0.4777 0.5223 0.2500  0.01
8 Pd 0.5223 0.4777 0.7500  0.01
9 Na 0.2591 0.7409 0.2500  0.01
10 Na 0.7409 0.2591 0.7500  0.01

Entry 5:
The following is a DFT calculation (PBE) of crystalline EuZn2Ge2 at its relaxed geometry.

Computed properties:
Total magnetic moment: 1.411 μB/atom
E_form: -387 meV/atom
V: 100.6 Å³/cell

a = 6.2036 Å, b = 6.2036 Å, c = 6.2036 Å
α = 139.28°, β = 139.28°, γ = 58.95°
Last column: magnetic moment on the atom in μB.
Atoms (fractional coordinates):
1 Eu 0.0000 0.0000 0.0000  6.82
2 Zn 0.2500 0.7500 0.5000  0.00
3 Zn 0.7500 0.2500 0.5000  0.00
4 Ge 0.6176 0.6176 0.0000  -0.01
5 Ge 0.3824 0.3824 0.0000  -0.01

Entry 6:
The following is a DFT calculation (PBE) of crystalline Tm2MgPd4 at its relaxed geometry.

Computed properties:
Total magnetic moment: 0.000 μB/atom
E_form: -807 meV/atom
V: 134.9 Å³/cell

a = 5.2071 Å, b = 3.9724 Å, c = 7.0846 Å
α = 90.06°, β = 85.27°, γ = 67.58°
Atoms (fractional coordinates):
1 Tm 0.7422 0.6287 0.6847
2 Tm 0.2578 0.3713 0.3153
3 Mg 0.0000 0.0000 0.0000
4 Pd 0.8195 0.0919 0.3651
5 Pd 0.1805 0.9081 0.6349
6 Pd 0.6206 0.6901 0.1143
7 Pd 0.3794 0.3099 0.8857

Entry 7:
The following is a DFT calculation (PBE) of crystalline BaLiIn2 at its relaxed geometry.

Computed properties:
Total magnetic moment: 0.001 μB/atom
E_form: -189 meV/atom
V: 121.6 Å³/cell

a = 3.9139 Å, b = 3.9142 Å, c = 7.9356 Å
α = 90.00°, β = 90.00°, γ = 90.00°
Atoms (fractional coordinates):
1 Ba 0.5000 0.5000 0.7562
2 In 0.0000 0.0000 0.0485
3 In 0.5000 0.5000 0.2739
4 Li 0.0000 0.0000 0.4214

Entry 8:
The following is a DFT calculation (PBE) of crystalline CaAl3Ir at its relaxed geometry.

Computed properties:
Total magnetic moment: 0.000 μB/atom
E_form: 1970 meV/atom
V: 134.2 Å³/cell

a = 5.1194 Å, b = 5.1194 Å, c = 5.1194 Å
α = 90.00°, β = 90.00°, γ = 90.00°
Atoms (fractional coordinates):
1 Ca 0.0000 0.0000 0.0000
2 Ir 0.5000 0.5000 0.5000
3 Al 0.0000 0.5000 0.0000
4 Al 0.0000 0.0000 0.5000
5 Al 0.5000 0.0000 0.0000

Record order is preserved below.
Density: 5.2; 5.4; 10.0; 2.9; 7.1; 9.7; 5.1; 3.9 Mg/m³